Compound: SiPbI2O
Source: Alexandria via LeMat-Bulk
Functional: meta-GGA SCAN
Structure: single point on PBEsol structure

a b c (Å): 6.1046 6.1046 4.1331
angles (deg): 90.00 90.00 90.00
With the nearest neighbours (Å) after each atom.
Space group P4/mmm (No. 123)
One atom of each set of equivalent atoms:
Si 0.0000 0.0000 0.0000 [1 per cell]  8 I 3.69
Pb 0.5000 0.5000 0.5000 [1 per cell]  2 O 2.07
I 0.0000 0.5000 0.5000 [2 per cell]  2 Pb 3.05
O 0.5000 0.5000 0.0000 [1 per cell]  2 Pb 2.07

## Properties
Formation energy from raw total energies in eV/f.u.: 1.880
Relative energy among the computed polymorphs in eV per atom: 0.000